SrReGe3 | GGA-PBEsol | relaxed

Computed properties:
Distance to the lowest polymorph of the same formula ... 0 meV/atom
V ... 114.1 Å³/cell
Crystal system ... cubic

a b c (Å): 4.8505 4.8505 4.8505
angles (deg): 90.00 90.00 90.00
Closest atoms and distances in Å follow each position.
Space group Pm-3m (No. 221)
Asymmetric unit:
Sr 0.0000 0.0000 0.0000  12 Ge 3.43
Re 0.5000 0.5000 0.5000  6 Ge 2.43
Ge 0.0000 0.5000 0.5000  2 Re 2.43